# PBE-GGA YHgAsAu2, relaxed
data_YHgAsAu2
_space_group_name_H-M_alt 'P 1'
_space_group_IT_number 1
_space_group_name_Hall 'P 1'
_cell_length_a 5.106
_cell_length_b 5.233
_cell_length_c 5.106
_cell_angle_alpha 90.00
_cell_angle_beta 90.00
_cell_angle_gamma 90.00
loop_
_atom_site_label
_atom_site_fract_x
_atom_site_fract_y
_atom_site_fract_z
_atom_site_occupancy
Au1 0.500 0.000 0.000 1
Au2 0.000 0.000 0.500 1
Y1 0.500 0.500 0.500 1
Hg1 0.000 0.000 0.000 1
As1 0.000 0.500 0.000 1
# Calculated volume in Å³/atom: 27.29

***

# PBE-GGA HoAsAu2, relaxed
data_HoAsAu2
_space_group_name_H-M_alt 'P 1'
_space_group_IT_number 1
_space_group_name_Hall 'P 1'
_cell_length_a 5.021
_cell_length_b 4.035
_cell_length_c 4.035
_cell_angle_alpha 90.00
_cell_angle_beta 90.00
_cell_angle_gamma 90.00
loop_
_atom_site_label
_atom_site_fract_x
_atom_site_fract_y
_atom_site_fract_z
_atom_site_occupancy
Au1 0.000 0.000 0.500 1
Au2 0.000 0.500 0.000 1
Ho1 0.500 0.000 0.000 1
As1 0.500 0.500 0.500 1
# Calculated volume in Å³/atom: 20.44

***

# PBE-GGA HoAsAu, relaxed
data_HoAsAu
_space_group_name_H-M_alt 'P 1'
_space_group_IT_number 1
_space_group_name_Hall 'P 1'
_cell_length_a 4.066
_cell_length_b 4.313
_cell_length_c 4.313
_cell_angle_alpha 120.00
_cell_angle_beta 90.00
_cell_angle_gamma 90.00
loop_
_atom_site_label
_atom_site_fract_x
_atom_site_fract_y
_atom_site_fract_z
_atom_site_occupancy
As1 0.261 0.333 0.667 1
Ho1 0.664 0.667 0.333 1
Au1 0.075 0.000 0.000 1
# Calculated volume in Å³/atom: 21.83

***

# PBE-GGA HoAsAu4, relaxed
data_HoAsAu4
_space_group_name_H-M_alt 'P 1'
_space_group_IT_number 1
_space_group_name_Hall 'P 1'
_cell_length_a 5.576
_cell_length_b 5.576
_cell_length_c 5.576
_cell_angle_alpha 60.00
_cell_angle_beta 60.00
_cell_angle_gamma 60.00
loop_
_atom_site_label
_atom_site_fract_x
_atom_site_fract_y
_atom_site_fract_z
_atom_site_occupancy
Au1 0.625 0.625 0.125 1
Au2 0.625 0.125 0.625 1
Au3 0.625 0.625 0.625 1
Au4 0.125 0.625 0.625 1
As1 0.000 0.000 0.000 1
Ho1 0.250 0.250 0.250 1
# Calculated volume in Å³/atom: 20.43

***

| no. | E_form (eV/atom) |
| --- | --- |
| 1 | 0.265 |
| 2 | -0.660 |
| 3 | -0.839 |
| 4 | -0.356 |